(1)
## DyHoHgRh (PBE)

Data for an optimized crystal structure of DyHoHgRh.

Cell and atoms, written as extended XYZ:
```
4
Lattice="5.038 0.000 0.000 2.519 4.363 0.000 2.519 1.454 4.113" Properties=species:S:1:pos:R:3 pbc="T T T"
Dy 7.556 4.363 3.085
Rh 0.000 0.000 0.000
Hg 5.038 2.908 2.057
Ho 2.519 1.454 1.028
```

Offset from the most stable computed form, meV per atom: 80
Space group: F-43m (216)
E_form, meV per atom: -624
Calculated density, g/cm3: 11.6

=====

(2)
## Ac2Ga4Cu3Ir (PBE)

Data for an optimized crystal structure of Ac2Ga4Cu3Ir.

Cell and atoms, written as extended XYZ:
```
10
Lattice="-1.967 -2.268 3.191 3.569 0.428 2.504 -3.801 8.803 3.912" Properties=species:S:1:pos:R:3 pbc="T T T"
Ac -1.950 1.105 2.591
Ac -1.049 6.778 4.169
Ga 0.801 -0.920 2.848
Ga 0.000 0.000 0.000
Ga -3.347 4.339 4.028
Ga 0.347 3.544 2.732
Cu -1.900 4.401 1.956
Cu -4.292 6.529 5.001
Cu 1.293 1.354 1.759
Ir -1.099 3.482 4.804
```

Space group: P-4m2 (115)
E_form, meV per atom: -457
Calculated density, g/cm3: 9.3

=====

no.,size of the total moment (μB per atom)
1,0.000
2,0.000